Below is a relaxed structure of RbNbCrRh2, with properties calculated at the PBE level.

Lattice parameters (Å, degrees): 4.6529 4.6529 4.8509 90.00 90.00 90.00
Space group P4/mmm (No. 123)
Asymmetric unit:
Rb 0.0000 0.0000 0.0000
Nb 0.0000 0.0000 0.5000
Cr 0.5000 0.5000 0.5000
Rh 0.0000 0.5000 0.0000

Calculated values
Energy of formation from the pure elements ... 282 kJ per mole of atoms

=====

Below is a relaxed structure of HoGaAs2O8, with properties calculated at the PBE level.

Lattice parameters (Å, degrees): 6.9357 6.9357 6.1889 90.00 90.00 90.00
Space group I-4m2 (No. 119)
Asymmetric unit:
Ho 0.0000 0.0000 0.0000
Ga 0.0000 0.5000 0.7500
As 0.0000 0.0000 0.5000
As 0.0000 0.5000 0.2500
O 0.0000 0.1892 0.6822
O 0.0000 0.3211 0.0585

Calculated values
Formation energy (no corrections) ... -1769 meV/atom

=====

Ordered final energy results: -20.7; -155.6; unit eV for the cell shown.
Ordered total moment results: 0.23; 0.00; unit μB/cell.